Entry from the Alexandria database: Al2Ge2S7 after structural relaxation (PBE-GGA).

raw formation energy: -418 meV per atom
total magnetic moment: 0.00 μB per formula unit
crystal system: monoclinic
energy: -4.56 eV/atom

abc: 9.7769 9.5024 6.3000
angles: 90.00 120.10 90.00
Last column: nearest neighbours and their distance in Å.
Space group C2/m (No. 12)
Symmetry-distinct sites (fractional):
Al: 0.0000 0.1793 0.0000 (multiplicity 4)  4 S 2.25-2.33
Ge: 0.1854 0.5000 0.3829 (multiplicity 4)  4 S 2.25-2.35
S: 0.0000 0.5000 0.5000 (multiplicity 2)  2 Ge 2.27
S: 0.0540 0.0000 0.2845 (multiplicity 4)  2 Al 2.33, 1 Ge 2.35
S: 0.2194 0.3115 0.1972 (multiplicity 8)  1 Al 2.25, 1 Ge 2.25